The following is a DFT calculation (PBE-GGA) of crystalline Cs2TlSeS at its relaxed geometry.

```
10
Lattice="7.810 0.000 0.000 0.000 5.456 0.000 -1.969 0.000 9.553" Properties=species:S:1:pos:R:3 pbc="T T T"
Cs 0.072 1.364 3.485
Cs 0.130 1.364 9.289
Cs 5.711 4.092 0.264
Cs 5.769 4.092 6.068
Tl 3.059 4.092 3.305
Tl 2.782 1.364 6.248
Se 1.764 4.092 6.116
Se 4.077 1.364 3.437
S 1.072 4.092 1.619
S 4.770 1.364 7.934
```

ρ, g cm⁻³: 4.7
Crystal system: monoclinic
Spin magnetization, μB/cell: 0.00
Total energy, eV per atom: -3.165

The following is a DFT calculation (PBE-GGA) of crystalline Cs2Tl2Se2S at its relaxed geometry.

```
7
Lattice="7.939 -2.299 0.000 7.939 2.299 0.000 -5.129 0.000 7.549" Properties=species:S:1:pos:R:3 pbc="T T T"
Cs -0.590 0.000 2.041
Cs 11.340 0.000 5.508
Tl 3.852 0.000 1.570
Tl 6.897 0.000 5.979
Se 0.610 0.000 6.785
Se 10.140 0.000 0.764
S 5.375 0.000 3.775
```

ρ, g cm⁻³: 5.2
Crystal system: monoclinic
Spin magnetization, μB/cell: 0.00
Total energy, eV per atom: -3.212

The following is a DFT calculation (PBE-GGA) of crystalline Cs3U2Se4S3 at its relaxed geometry.

```
12
Lattice="-2.619 2.755 14.381 2.619 -2.755 14.381 2.619 2.755 -14.381" Properties=species:S:1:pos:R:3 pbc="T T T"
Cs 0.000 0.000 0.000
Cs 0.000 0.000 5.329
Cs 0.000 0.000 23.433
U 0.000 0.000 11.752
U 0.000 0.000 17.010
Se 2.619 0.000 2.624
Se 0.000 0.000 9.134
Se 0.000 0.000 19.628
Se 0.000 2.755 11.757
S 2.619 0.000 11.764
S 0.000 0.000 14.381
S 0.000 2.755 2.617
```

ρ, g cm⁻³: 5.1
Crystal system: orthorhombic
Spin magnetization, μB/cell: 1.01
Total energy, eV per atom: -5.545

The following is a DFT calculation (PBE-GGA) of crystalline Cs2U2Se2S at its relaxed geometry.

```
7
Lattice="-2.594 2.594 9.096 2.594 -2.594 9.096 2.594 2.594 -9.096" Properties=species:S:1:pos:R:3 pbc="T T T"
Cs 0.000 0.000 3.391
Cs 0.000 0.000 14.802
U 2.594 0.000 0.000
U 0.000 2.594 0.000
Se 0.000 0.000 7.289
Se 0.000 0.000 10.904
S 0.000 0.000 0.000
```

ρ, g cm⁻³: 6.3
Crystal system: tetragonal
Spin magnetization, μB/cell: 6.94
Total energy, eV per atom: -5.864